1.
{
  "formula": "Ag2SnIr",
  "functional": "PBE",
  "state": "relaxed",
  "density_g_cm3": 11.373,
  "sg": "No. 122",
  "final_energy_ev_per_atom": -4.3764,
  "lattice": [[-2.9885, -0.8180, 2.3171], [2.4065, -0.2366, 3.0202], [-1.6103, 9.4947, 4.5049]],
  "species": ["Ag", "Ag", "Ag", "Ag", "Sn", "Sn", "Ir", "Ir"],
  "fractional_positions": [[0.8750, 0.8827, 0.7500], [0.1173, 0.6250, 0.2500], [0.3750, 0.3673, 0.7500], [0.6327, 0.1250, 0.2500], [0.2500, 0.7500, 0.5000], [0.5000, 0.5000, 0.0000], [0.0000, 0.0000, 0.0000], [0.7500, 0.2500, 0.5000]]
}

2.
{
  "formula": "TbAgSnIr",
  "functional": "PBE",
  "state": "relaxed",
  "density_g_cm3": 11.927,
  "sg": "No. 216",
  "final_energy_ev_per_atom": -5.5088,
  "lattice": [[-2.6616, -0.5315, -4.0137], [-4.6449, -1.3380, 0.3329], [-3.5149, 3.1769, -1.0144]],
  "species": ["Ag", "Ir", "Tb", "Sn"],
  "fractional_positions": [[0.0000, 0.0000, 0.0000], [0.5000, 0.5000, 0.5000], [0.7500, 0.7500, 0.7500], [0.2500, 0.2500, 0.2500]]
}

3.
{
  "formula": "TiAgSnIr",
  "functional": "PBE",
  "state": "relaxed",
  "density_g_cm3": 11.272,
  "sg": "No. 216",
  "final_energy_ev_per_atom": -6.1658,
  "lattice": [[4.5982, 0.0000, 0.0000], [2.2991, 3.9821, 0.0000], [2.2991, 1.3274, 3.7544]],
  "species": ["Ag", "Sn", "Ir", "Ti"],
  "fractional_positions": [[0.7500, 0.7500, 0.7500], [0.5000, 0.5000, 0.5000], [0.2500, 0.2500, 0.2500], [0.0000, 0.0000, 0.0000]]
}

4.
{
  "formula": "TmAgSnIr",
  "functional": "PBE",
  "state": "relaxed",
  "density_g_cm3": 12.494,
  "sg": "No. 216",
  "final_energy_ev_per_atom": -5.4966,
  "lattice": [[4.7983, 0.0000, 0.0000], [2.3991, 4.1554, 0.0000], [2.3991, 1.3851, 3.9178]],
  "species": ["Tm", "Sn", "Ir", "Ag"],
  "fractional_positions": [[0.2500, 0.2500, 0.2500], [0.7500, 0.7500, 0.7500], [0.0000, 0.0000, 0.0000], [0.5000, 0.5000, 0.5000]]
}

5.
{
  "formula": "VAg2SnIr",
  "functional": "PBE",
  "state": "relaxed",
  "density_g_cm3": 8.028,
  "sg": "No. 123",
  "final_energy_ev_per_atom": -3.7962,
  "lattice": [[-2.0667, 1.8273, -4.0574], [-4.2228, 0.7616, 2.4939], [1.5408, 4.4908, 1.2377]],
  "species": ["Sn", "V", "Ag", "Ag", "Ir"],
  "fractional_positions": [[0.0000, 0.0000, 0.0000], [0.0000, 0.5000, 0.0000], [0.0000, 0.0000, 0.5000], [0.5000, 0.0000, 0.0000], [0.5000, 0.5000, 0.5000]]
}

6.
{
  "formula": "ZnAgSnIr2",
  "functional": "PBE",
  "state": "relaxed",
  "density_g_cm3": 11.382,
  "sg": "No. 123",
  "final_energy_ev_per_atom": -4.2864,
  "lattice": [[-0.9886, 3.6784, -2.6404], [-4.4398, -0.3936, 1.1139], [0.6657, 2.7913, 3.6394]],
  "species": ["Ir", "Ir", "Zn", "Sn", "Ag"],
  "fractional_positions": [[0.5000, 0.0000, 0.0000], [0.0000, 0.0000, 0.5000], [0.0000, 0.0000, 0.0000], [0.5000, 0.5000, 0.5000], [0.0000, 0.5000, 0.0000]]
}

7.
{
  "formula": "SrAg4Ir",
  "functional": "PBE",
  "state": "relaxed",
  "density_g_cm3": 9.756,
  "sg": "No. 216",
  "final_energy_ev_per_atom": -3.5000,
  "lattice": [[0.0000, 3.9265, 3.9265], [3.9265, 0.0000, 3.9265], [3.9265, 3.9265, 0.0000]],
  "species": ["Sr", "Ag", "Ag", "Ag", "Ag", "Ir"],
  "fractional_positions": [[0.0000, 0.0000, 0.0000], [0.3757, 0.3757, 0.8729], [0.3757, 0.3757, 0.3757], [0.3757, 0.8729, 0.3757], [0.8729, 0.3757, 0.3757], [0.7500, 0.7500, 0.7500]]
}

8.
{
  "formula": "Sr6AgIr2",
  "functional": "PBE",
  "state": "relaxed",
  "density_g_cm3": 4.750,
  "sg": "No. 162",
  "final_energy_ev_per_atom": -3.5434,
  "lattice": [[7.2092, 0.0000, 0.0000], [0.0000, 6.5383, -3.7748], [0.0000, 0.0000, 7.5497]],
  "species": ["Sr", "Sr", "Sr", "Sr", "Sr", "Sr", "Ag", "Ir", "Ir"],
  "fractional_positions": [[0.7279, 0.0000, 0.3515], [0.2721, 0.6485, 0.0000], [0.2721, 0.3515, 0.3515], [0.2721, 0.0000, 0.6485], [0.7279, 0.3515, 0.0000], [0.7279, 0.6485, 0.6485], [0.0000, 0.0000, 0.0000], [0.5000, 0.6667, 0.3333], [0.5000, 0.3333, 0.6667]]
}

9.
{
  "formula": "SrAgIr4",
  "functional": "PBE",
  "state": "relaxed",
  "density_g_cm3": 14.706,
  "sg": "No. 216",
  "final_energy_ev_per_atom": -6.5352,
  "lattice": [[0.0000, 3.7901, 3.7901], [3.7901, 0.0000, 3.7901], [3.7901, 3.7901, 0.0000]],
  "species": ["Ag", "Ir", "Ir", "Ir", "Ir", "Sr"],
  "fractional_positions": [[0.0000, 0.0000, 0.0000], [0.3748, 0.3748, 0.3748], [0.8755, 0.3748, 0.3748], [0.3748, 0.3748, 0.8755], [0.3748, 0.8755, 0.3748], [0.7500, 0.7500, 0.7500]]
}

10.
{
  "formula": "Sr8Ag2Ir",
  "functional": "PBE",
  "state": "relaxed",
  "density_g_cm3": 4.416,
  "sg": "No. 12",
  "final_energy_ev_per_atom": -2.6602,
  "lattice": [[5.6239, 0.0000, 0.0000], [0.0000, 7.5903, 0.1964], [-2.8119, -3.0205, 9.6893]],
  "species": ["Sr", "Sr", "Sr", "Sr", "Sr", "Sr", "Sr", "Sr", "Ag", "Ag", "Ir"],
  "fractional_positions": [[0.2128, 0.3164, 0.4256], [0.7872, 0.6836, 0.5744], [0.0306, 0.8080, 0.0613], [0.3481, 0.0386, 0.6962], [0.4136, 0.5949, 0.8272], [0.6519, 0.9614, 0.3038], [0.9694, 0.1920, 0.9387], [0.5864, 0.4051, 0.1728], [0.1880, 0.7246, 0.3761], [0.8120, 0.2754, 0.6239], [0.5000, 0.0000, 0.0000]]
}

11.
{
  "formula": "Sr4AgIr",
  "functional": "PBE",
  "state": "relaxed",
  "density_g_cm3": 5.081,
  "sg": "No. 15",
  "final_energy_ev_per_atom": -3.2889,
  "lattice": [[6.9196, 0.0459, 0.0000], [-1.7222, 8.4249, 0.0000], [-2.5987, -4.2354, 7.2841]],
  "species": ["Sr", "Sr", "Sr", "Sr", "Sr", "Sr", "Sr", "Sr", "Ir", "Ir", "Ag", "Ag"],
  "fractional_positions": [[0.8024, 0.7155, 0.6625], [0.6344, 0.3481, 0.1235], [0.0109, 0.2246, 0.8765], [0.3601, 0.9470, 0.6625], [0.9891, 0.7754, 0.1235], [0.6399, 0.0530, 0.3375], [0.3656, 0.6519, 0.8765], [0.1976, 0.2845, 0.3375], [0.2497, 0.9997, 0.9995], [0.7503, 0.0003, 0.0005], [0.6135, 0.3635, 0.7270], [0.3865, 0.6365, 0.2730]]
}

12.
{
  "formula": "SrAgIr",
  "functional": "PBE",
  "state": "relaxed",
  "density_g_cm3": 9.980,
  "sg": "No. 156",
  "final_energy_ev_per_atom": -3.8656,
  "lattice": [[-1.0036, 2.3398, -1.9265], [-1.9319, -1.1336, 2.2751], [2.5989, 4.9708, 4.6835]],
  "species": ["Sr", "Ag", "Ir"],
  "fractional_positions": [[0.3333, 0.6667, 0.6430], [0.0000, 0.0000, 0.0262], [0.6667, 0.3333, 0.3307]]
}

Number 1: formation energy from the elements 6.115 kcal/mol of atoms. Number 2: formation energy from the elements -9.743 kcal/mol of atoms. Number 3: formation energy from the elements -6.072 kcal/mol of atoms. Number 4: formation energy from the elements -10.377 kcal/mol of atoms. Number 5: formation energy from the elements 40.143 kcal/mol of atoms. Number 6: formation energy from the elements 20.378 kcal/mol of atoms. Number 7: formation energy from the elements 3.644 kcal/mol of atoms. Number 8: formation energy from the elements -3.142 kcal/mol of atoms. Number 9: formation energy from the elements 2.943 kcal/mol of atoms. Number 10: formation energy from the elements -2.609 kcal/mol of atoms. Number 11: formation energy from the elements -4.972 kcal/mol of atoms. Number 12: formation energy from the elements 13.815 kcal/mol of atoms.